! BaTl2Cd SCAN single point on PBEsol structure; values from VASP
&SYSTEM
  ibrav = 0, nat = 4, ntyp = 3
/
ATOMIC_SPECIES
Ba 137.33 Ba.upf
Tl 204.38 Tl.upf
Cd 112.41 Cd.upf
CELL_PARAMETERS angstrom
2.476 1.430 6.081
-2.476 1.430 6.081
0.000 -2.859 6.081
ATOMIC_POSITIONS angstrom
Ba 0.000 0.000 0.000
Tl 0.000 0.000 4.021
Tl 0.000 0.000 8.276
Cd 0.000 0.000 14.664
! Electronic total energy   -54.026 eV per atom
! D(E_F)   1.84 states/eV per cell
! Symmetry   R3m, No. 160